Entry from Alexandria via LeMat-Bulk: crystalline BeInRu2 at its relaxed geometry (GGA-PBEsol).

Structure (CIF):
```
data_BeInRu2
_cell_length_a 4.2101
_cell_length_b 4.2101
_cell_length_c 3.1217
_cell_angle_alpha 90.00
_cell_angle_beta 90.00
_cell_angle_gamma 90.00
_space_group_name_H-M_alt 'P 1'
_space_group_IT_number 1
loop_
_space_group_symop_operation_xyz
'x,y,z'
loop_
_atom_site_label
_atom_site_type_symbol
_atom_site_fract_x
_atom_site_fract_y
_atom_site_fract_z
Be1 Be 0.0000 0.0000 0.0000
In1 In 0.5000 0.5000 0.0000
Ru1 Ru 0.0000 0.5000 0.5000
Ru2 Ru 0.5000 0.0000 0.5000
```

The raw total energy is -6.573 eV per atom. The calculation puts the excess energy over the best structure of this formula in the dataset at 55 meV per atom. The calculation puts the density at 9.8 Mg/m³. As for the symmetry: P4/mmm.



Entry from Alexandria via LeMat-Bulk: crystalline Be2InRu at its relaxed geometry (GGA-PBEsol).

Structure (CIF):
```
data_Be2InRu
_cell_length_a 4.7578
_cell_length_b 4.7578
_cell_length_c 4.7578
_cell_angle_alpha 136.61
_cell_angle_beta 136.61
_cell_angle_gamma 63.03
_space_group_name_H-M_alt 'P 1'
_space_group_IT_number 1
loop_
_space_group_symop_operation_xyz
'x,y,z'
loop_
_atom_site_label
_atom_site_type_symbol
_atom_site_fract_x
_atom_site_fract_y
_atom_site_fract_z
Be1 Be 0.0000 0.0000 0.0000
Be2 Be 0.7500 0.2500 0.5000
In1 In 0.5000 0.5000 0.0000
Ru1 Ru 0.2500 0.7500 0.5000
```

The raw total energy is -5.253 eV per atom. The calculation puts the excess energy over the best structure of this formula in the dataset at 9 meV per atom. The calculation puts the density at 7.7 Mg/m³. As for the symmetry: I-4m2.



Entry from Alexandria via LeMat-Bulk: crystalline BeInSb4 at its relaxed geometry (GGA-PBEsol).

Structure (CIF):
```
data_BeInSb4
_cell_length_a 6.1575
_cell_length_b 6.1575
_cell_length_c 6.1575
_cell_angle_alpha 60.00
_cell_angle_beta 60.00
_cell_angle_gamma 60.00
_space_group_name_H-M_alt 'P 1'
_space_group_IT_number 1
loop_
_space_group_symop_operation_xyz
'x,y,z'
loop_
_atom_site_label
_atom_site_type_symbol
_atom_site_fract_x
_atom_site_fract_y
_atom_site_fract_z
Be1 Be 0.0000 0.0000 0.0000
In1 In 0.7500 0.7500 0.7500
Sb1 Sb 0.3746 0.3746 0.3746
Sb2 Sb 0.3746 0.3746 0.8763
Sb3 Sb 0.3746 0.8763 0.3746
Sb4 Sb 0.8763 0.3746 0.3746
```

The raw total energy is -3.589 eV per atom. As for the formation energy (no corrections): 59 kJ/mol of atoms. The calculation puts the density at 6.1 Mg/m³. As for the symmetry: F-43m.



Entry from Alexandria via LeMat-Bulk: crystalline BeIn2Sb at its relaxed geometry (GGA-PBEsol).

Structure (CIF):
```
data_BeIn2Sb
_cell_length_a 3.1812
_cell_length_b 3.1812
_cell_length_c 8.5351
_cell_angle_alpha 90.00
_cell_angle_beta 90.00
_cell_angle_gamma 98.35
_space_group_name_H-M_alt 'P 1'
_space_group_IT_number 1
loop_
_space_group_symop_operation_xyz
'x,y,z'
loop_
_atom_site_label
_atom_site_type_symbol
_atom_site_fract_x
_atom_site_fract_y
_atom_site_fract_z
Be1 Be 0.0000 0.0000 0.0000
In1 In 0.5000 0.5000 0.1972
In2 In 0.5000 0.5000 0.8028
Sb1 Sb 0.0000 0.0000 0.5000
```

The raw total energy is -3.294 eV per atom. As for the formation energy (no corrections): 33 kJ/mol of atoms. The calculation puts the excess energy over the best structure of this formula in the dataset at 55 meV per atom. The calculation puts the density at 7.0 Mg/m³. As for the symmetry: Cmmm.



Entry from Alexandria via LeMat-Bulk: crystalline BeIn2Sb at its relaxed geometry (GGA-PBEsol).

Structure (CIF):
```
data_BeIn2Sb
_cell_length_a 3.1685
_cell_length_b 3.1685
_cell_length_c 8.5184
_cell_angle_alpha 90.00
_cell_angle_beta 90.00
_cell_angle_gamma 90.00
_space_group_name_H-M_alt 'P 1'
_space_group_IT_number 1
loop_
_space_group_symop_operation_xyz
'x,y,z'
loop_
_atom_site_label
_atom_site_type_symbol
_atom_site_fract_x
_atom_site_fract_y
_atom_site_fract_z
Be1 Be 0.0000 0.0000 0.0000
In1 In 0.5000 0.5000 0.1979
In2 In 0.5000 0.5000 0.8021
Sb1 Sb 0.0000 0.0000 0.5000
```

The raw total energy is -3.286 eV per atom. As for the formation energy (no corrections): 33 kJ/mol of atoms. The calculation puts the excess energy over the best structure of this formula in the dataset at 63 meV per atom. The calculation puts the density at 7.0 Mg/m³. As for the symmetry: P4/mmm.



Entry from Alexandria via LeMat-Bulk: crystalline BeIn2Sb at its relaxed geometry (GGA-PBEsol).

Structure (CIF):
```
data_BeIn2Sb
_cell_length_a 3.3388
_cell_length_b 3.3388
_cell_length_c 8.3180
_cell_angle_alpha 90.00
_cell_angle_beta 90.00
_cell_angle_gamma 106.32
_space_group_name_H-M_alt 'P 1'
_space_group_IT_number 1
loop_
_space_group_symop_operation_xyz
'x,y,z'
loop_
_atom_site_label
_atom_site_type_symbol
_atom_site_fract_x
_atom_site_fract_y
_atom_site_fract_z
Be1 Be 0.0000 0.0000 0.0000
In1 In 0.0000 0.0000 0.5013
In2 In 0.5000 0.5000 0.2068
Sb1 Sb 0.5000 0.5000 0.8186
```

The raw total energy is -3.349 eV per atom. As for the formation energy (no corrections): 27 kJ/mol of atoms. The calculation puts the excess energy over the best structure of this formula in the dataset at 0 meV per atom. The calculation puts the density at 6.7 Mg/m³. As for the symmetry: Cmm2.



Entry from Alexandria via LeMat-Bulk: crystalline BeIn2Sb at its relaxed geometry (GGA-PBEsol).

Structure (CIF):
```
data_BeIn2Sb
_cell_length_a 5.0527
_cell_length_b 5.0527
_cell_length_c 5.0527
_cell_angle_alpha 60.00
_cell_angle_beta 60.00
_cell_angle_gamma 60.00
_space_group_name_H-M_alt 'P 1'
_space_group_IT_number 1
loop_
_space_group_symop_operation_xyz
'x,y,z'
loop_
_atom_site_label
_atom_site_type_symbol
_atom_site_fract_x
_atom_site_fract_y
_atom_site_fract_z
Be1 Be 0.0000 0.0000 0.0000
In1 In 0.2500 0.2500 0.2500
In2 In 0.7500 0.7500 0.7500
Sb1 Sb 0.5000 0.5000 0.5000
```

The raw total energy is -3.130 eV per atom. As for the formation energy (no corrections): 48 kJ/mol of atoms. The calculation puts the excess energy over the best structure of this formula in the dataset at 219 meV per atom. The calculation puts the density at 6.6 Mg/m³. As for the symmetry: Fm-3m.



Entry from Alexandria via LeMat-Bulk: crystalline BeIn2Sb at its relaxed geometry (GGA-PBEsol).

Structure (CIF):
```
data_BeIn2Sb
_cell_length_a 6.1646
_cell_length_b 6.1646
_cell_length_c 6.1646
_cell_angle_alpha 141.66
_cell_angle_beta 141.66
_cell_angle_gamma 55.33
_space_group_name_H-M_alt 'P 1'
_space_group_IT_number 1
loop_
_space_group_symop_operation_xyz
'x,y,z'
loop_
_atom_site_label
_atom_site_type_symbol
_atom_site_fract_x
_atom_site_fract_y
_atom_site_fract_z
Be1 Be 0.0000 0.0000 0.0000
In1 In 0.2500 0.7500 0.5000
In2 In 0.7500 0.2500 0.5000
Sb1 Sb 0.5000 0.5000 0.0000
```

The raw total energy is -3.210 eV per atom. As for the formation energy (no corrections): 41 kJ/mol of atoms. The calculation puts the excess energy over the best structure of this formula in the dataset at 139 meV per atom. The calculation puts the density at 6.7 Mg/m³. As for the symmetry: I4/mmm.



Entry from Alexandria via LeMat-Bulk: crystalline ScBeIn at its relaxed geometry (GGA-PBEsol).

Structure (CIF):
```
data_ScBeIn
_cell_length_a 4.2886
_cell_length_b 4.2886
_cell_length_c 3.3117
_cell_angle_alpha 90.00
_cell_angle_beta 90.00
_cell_angle_gamma 120.00
_space_group_name_H-M_alt 'P 1'
_space_group_IT_number 1
loop_
_space_group_symop_operation_xyz
'x,y,z'
loop_
_atom_site_label
_atom_site_type_symbol
_atom_site_fract_x
_atom_site_fract_y
_atom_site_fract_z
Sc1 Sc 0.0000 0.0000 0.0000
Be1 Be 0.6667 0.3333 0.5023
In1 In 0.3333 0.6667 0.4996
```

The raw total energy is -4.759 eV per atom. The calculation puts the density at 5.3 Mg/m³. As for the symmetry: P3m1.



Entry from Alexandria via LeMat-Bulk: crystalline Sc3BeIn at its relaxed geometry (GGA-PBEsol).

Structure (CIF):
```
data_Sc3BeIn
_cell_length_a 4.7732
_cell_length_b 4.7732
_cell_length_c 4.7732
_cell_angle_alpha 90.00
_cell_angle_beta 90.00
_cell_angle_gamma 90.00
_space_group_name_H-M_alt 'P 1'
_space_group_IT_number 1
loop_
_space_group_symop_operation_xyz
'x,y,z'
loop_
_atom_site_label
_atom_site_type_symbol
_atom_site_fract_x
_atom_site_fract_y
_atom_site_fract_z
Sc1 Sc 0.0000 0.0000 0.5000
Sc2 Sc 0.0000 0.5000 0.0000
Sc3 Sc 0.5000 0.0000 0.0000
Be1 Be 0.0000 0.0000 0.0000
In1 In 0.5000 0.5000 0.5000
```

The raw total energy is -5.329 eV per atom. The calculation puts the excess energy over the best structure of this formula in the dataset at 0 meV per atom. The calculation puts the density at 4.0 Mg/m³. As for the symmetry: Pm-3m.



Entry from Alexandria via LeMat-Bulk: crystalline ScBe4In at its relaxed geometry (GGA-PBEsol).

Structure (CIF):
```
data_ScBe4In
_cell_length_a 4.7338
_cell_length_b 4.7338
_cell_length_c 4.7338
_cell_angle_alpha 60.00
_cell_angle_beta 60.00
_cell_angle_gamma 60.00
_space_group_name_H-M_alt 'P 1'
_space_group_IT_number 1
loop_
_space_group_symop_operation_xyz
'x,y,z'
loop_
_atom_site_label
_atom_site_type_symbol
_atom_site_fract_x
_atom_site_fract_y
_atom_site_fract_z
Sc1 Sc 0.0000 0.0000 0.0000
Be1 Be 0.1056 0.6315 0.6315
Be2 Be 0.6315 0.1056 0.6315
Be3 Be 0.6315 0.6315 0.1056
Be4 Be 0.6315 0.6315 0.6315
In1 In 0.2500 0.2500 0.2500
```

The raw total energy is -4.175 eV per atom. The calculation puts the density at 4.3 Mg/m³. As for the symmetry: F-43m.



Entry from Alexandria via LeMat-Bulk: crystalline Sc2BeIn at its relaxed geometry (GGA-PBEsol).

Structure (CIF):
```
data_Sc2BeIn
_cell_length_a 3.2492
_cell_length_b 3.2492
_cell_length_c 6.9689
_cell_angle_alpha 90.00
_cell_angle_beta 90.00
_cell_angle_gamma 90.00
_space_group_name_H-M_alt 'P 1'
_space_group_IT_number 1
loop_
_space_group_symop_operation_xyz
'x,y,z'
loop_
_atom_site_label
_atom_site_type_symbol
_atom_site_fract_x
_atom_site_fract_y
_atom_site_fract_z
Sc1 Sc 0.0000 0.0000 0.2148
Sc2 Sc 0.0000 0.0000 0.7852
Be1 Be 0.5000 0.5000 0.0000
In1 In 0.5000 0.5000 0.5000
```

The raw total energy is -5.333 eV per atom. The calculation puts the excess energy over the best structure of this formula in the dataset at 0 meV per atom. The calculation puts the density at 4.8 Mg/m³. As for the symmetry: P4/mmm.



Entry from Alexandria via LeMat-Bulk: crystalline Sc2BeIn at its relaxed geometry (GGA-PBEsol).

Structure (CIF):
```
data_Sc2BeIn
_cell_length_a 5.6518
_cell_length_b 5.6518
_cell_length_c 5.6518
_cell_angle_alpha 145.95
_cell_angle_beta 131.04
_cell_angle_gamma 60.98
_space_group_name_H-M_alt 'P 1'
_space_group_IT_number 1
loop_
_space_group_symop_operation_xyz
'x,y,z'
loop_
_atom_site_label
_atom_site_type_symbol
_atom_site_fract_x
_atom_site_fract_y
_atom_site_fract_z
Sc1 Sc 0.0000 0.0000 0.0000
Sc2 Sc 0.7222 0.2222 0.5000
Be1 Be 0.2416 0.7416 0.5000
In1 In 0.4372 0.4372 0.0000
```

The raw total energy is -5.191 eV per atom. The calculation puts the excess energy over the best structure of this formula in the dataset at 143 meV per atom. The calculation puts the density at 4.7 Mg/m³. As for the symmetry: Imm2.



Entry from Alexandria via LeMat-Bulk: crystalline Sc3BeIn at its relaxed geometry (GGA-PBEsol).

Structure (CIF):
```
data_Sc3BeIn
_cell_length_a 5.2391
_cell_length_b 5.2391
_cell_length_c 5.2391
_cell_angle_alpha 90.00
_cell_angle_beta 90.00
_cell_angle_gamma 90.00
_space_group_name_H-M_alt 'P 1'
_space_group_IT_number 1
loop_
_space_group_symop_operation_xyz
'x,y,z'
loop_
_atom_site_label
_atom_site_type_symbol
_atom_site_fract_x
_atom_site_fract_y
_atom_site_fract_z
Sc1 Sc 0.0000 0.0000 0.5000
Sc2 Sc 0.0000 0.5000 0.0000
Sc3 Sc 0.5000 0.0000 0.0000
Be1 Be 0.5000 0.5000 0.5000
In1 In 0.0000 0.0000 0.0000
```

The raw total energy is -4.442 eV per atom. The calculation puts the excess energy over the best structure of this formula in the dataset at 887 meV per atom. The calculation puts the density at 3.0 Mg/m³. As for the symmetry: Pm-3m.



Entry from Alexandria via LeMat-Bulk: crystalline BeIn2Se at its relaxed geometry (GGA-PBEsol).

Structure (CIF):
```
data_BeIn2Se
_cell_length_a 6.9579
_cell_length_b 6.9579
_cell_length_c 6.9579
_cell_angle_alpha 127.04
_cell_angle_beta 127.04
_cell_angle_gamma 78.18
_space_group_name_H-M_alt 'P 1'
_space_group_IT_number 1
loop_
_space_group_symop_operation_xyz
'x,y,z'
loop_
_atom_site_label
_atom_site_type_symbol
_atom_site_fract_x
_atom_site_fract_y
_atom_site_fract_z
Be1 Be 0.0000 0.0000 0.0000
Be2 Be 0.7500 0.2500 0.5000
In1 In 0.0868 0.1250 0.4618
In2 In 0.3750 0.9132 0.0382
In3 In 0.6632 0.6250 0.5382
In4 In 0.8750 0.3368 0.9618
Se1 Se 0.2500 0.7500 0.5000
Se2 Se 0.5000 0.5000 0.0000
```

The raw total energy is -3.254 eV per atom. As for the formation energy (no corrections): 19 kJ/mol of atoms. The calculation puts the excess energy over the best structure of this formula in the dataset at 0 meV per atom. The calculation puts the density at 5.1 Mg/m³. As for the symmetry: I-42d.